1.
Material: Tl4HgPb2
Method: DFT, PBE-GGA
State: relaxed

ΔE_f = 0.054 eV/atom
Crystal system = orthorhombic
V = 32.9 Å³ per atom
Total magnetization = 0.00 Bohr magnetons per cell
DOS(E_F) = 3.0 states/eV/f.u.

a = 7.358 Å, b = 11.198 Å, c = 5.597 Å
α = 90.00°, β = 90.00°, γ = 90.00°
Fractional coordinates of all 14 atoms:
1 Tl 0.248 0.001 0.000
2 Tl 0.249 0.754 0.500
3 Tl 0.251 0.254 0.500
4 Tl 0.252 0.501 0.000
5 Tl 0.748 0.499 0.000
6 Tl 0.749 0.746 0.500
7 Tl 0.751 0.246 0.500
8 Tl 0.752 0.999 0.000
9 Hg 0.000 0.500 0.500
10 Hg 0.500 0.000 0.500
11 Pb 0.000 0.250 0.000
12 Pb 0.000 0.750 0.000
13 Pb 0.500 0.250 0.000
14 Pb 0.500 0.750 0.000

=====

2.
Material: MgGa2
Method: DFT, PBE-GGA
State: relaxed

ΔE_f = -0.107 eV/atom
Crystal system = orthorhombic
V = 19.2 Å³ per atom
Total magnetization = 0.00 Bohr magnetons per cell
DOS(E_F) = 1.0 states/eV/f.u.

a = 4.396 Å, b = 6.734 Å, c = 7.781 Å
α = 90.00°, β = 90.00°, γ = 90.00°
Fractional coordinates of all 12 atoms:
1 Mg 0.000 0.250 0.055
2 Mg 0.000 0.750 0.945
3 Mg 0.500 0.250 0.445
4 Mg 0.500 0.750 0.555
5 Ga 0.000 0.046 0.661
6 Ga 0.000 0.454 0.661
7 Ga 0.000 0.546 0.339
8 Ga 0.000 0.954 0.339
9 Ga 0.500 0.046 0.839
10 Ga 0.500 0.454 0.839
11 Ga 0.500 0.546 0.161
12 Ga 0.500 0.954 0.161

=====

3.
Material: PaNi4Sb
Method: DFT, PBE-GGA
State: relaxed

Crystal system = orthorhombic
V = 15.4 Å³ per atom
Total magnetization = 0.00 Bohr magnetons per cell
ΔE_f (raw) = -34.4 kJ per mole of atoms
E above lowest polymorph = 0.000 eV/atom
DOS(E_F) = 2.4 states/eV/f.u.

a = 8.578 Å, b = 8.578 Å, c = 5.750 Å
α = 90.00°, β = 90.00°, γ = 154.09°
Fractional coordinates of all 12 atoms:
1 Pa 0.093 0.907 0.750
2 Pa 0.907 0.093 0.250
3 Ni 0.067 0.933 0.250
4 Ni 0.352 0.648 0.544
5 Ni 0.352 0.648 0.956
6 Ni 0.500 0.500 0.000
7 Ni 0.500 0.500 0.500
8 Ni 0.648 0.352 0.044
9 Ni 0.648 0.352 0.456
10 Ni 0.933 0.067 0.750
11 Sb 0.234 0.766 0.250
12 Sb 0.766 0.234 0.750

=====

4.
Material: NbNiPdRh
Method: DFT, PBE-GGA
State: relaxed

ΔE_f = -0.209 eV/atom
Crystal system = cubic
V = 14.8 Å³ per atom
Total magnetization = 0.00 Bohr magnetons per cell
DOS(E_F) = 1.9 states/eV/f.u.

a = 6.181 Å, b = 6.181 Å, c = 6.181 Å
α = 90.00°, β = 90.00°, γ = 90.00°
Fractional coordinates of all 16 atoms:
1 Nb 0.000 0.000 0.000
2 Nb 0.000 0.500 0.500
3 Nb 0.500 0.000 0.500
4 Nb 0.500 0.500 0.000
5 Ni 0.000 0.000 0.500
6 Ni 0.000 0.500 0.000
7 Ni 0.500 0.000 0.000
8 Ni 0.500 0.500 0.500
9 Pd 0.250 0.250 0.750
10 Pd 0.250 0.750 0.250
11 Pd 0.750 0.250 0.250
12 Pd 0.750 0.750 0.750
13 Rh 0.250 0.250 0.250
14 Rh 0.250 0.750 0.750
15 Rh 0.750 0.250 0.750
16 Rh 0.750 0.750 0.250

=====

5.
Material: TaSi2Pt
Method: DFT, PBE-GGA
State: relaxed

Crystal system = monoclinic
V = 15.0 Å³ per atom
Total magnetization = 0.00 Bohr magnetons per cell
ΔE_f (raw) = -41.3 kJ per mole of atoms
DOS(E_F) = 1.8 states/eV/f.u.

a = 9.426 Å, b = 2.936 Å, c = 4.522 Å
α = 90.00°, β = 106.78°, γ = 90.00°
Fractional coordinates of all 8 atoms:
1 Ta 0.000 0.000 0.000
2 Ta 0.500 0.500 0.000
3 Si 0.245 0.500 0.118
4 Si 0.483 0.000 0.483
5 Si 0.745 0.000 0.118
6 Si 0.983 0.500 0.483
7 Pt 0.234 0.000 0.608
8 Pt 0.734 0.500 0.608

=====

6.
Material: PuGeH
Method: DFT, PBE-GGA
State: relaxed

Crystal system = hexagonal
V = 17.2 Å³ per atom
Total magnetization = 4.95 Bohr magnetons per cell
E above lowest polymorph = 0.301 eV/atom
DOS(E_F) = 5.1 states/eV/f.u.

a = 3.654 Å, b = 3.654 Å, c = 4.473 Å
α = 90.00°, β = 90.00°, γ = 120.00°
Fractional coordinates of all 3 atoms:
1 Pu 0.000 0.000 0.000
2 Ge 0.667 0.333 0.500
3 H 0.333 0.667 0.000

=====

- Which value of DOS(E_F) does entry 1 give?
  3.0 states/eV/f.u.

=====

- The lowest V belongs to which entry?
  NbNiPdRh

=====

- Look up the V of the fourth one.
  14.8 Å³ per atom